<one>
# LiEr

A relaxed structure of LiEr (GGA-PBE, OQMD via LeMat-Bulk).

Geometry as POSCAR:
```
LiEr
1.0
-1.640 1.328 2.968
0.759 -3.076 1.796
3.162 1.427 1.108
Li Er
1 1
Cartesian
1.140 -0.160 2.936
0.000 0.000 0.000
```

Symmetry ... Pm-3m
Total moment ... 0.014 μB per atom
Crystal system ... cubic



<two>
# LiEr

A relaxed structure of LiEr (GGA-PBE, OQMD via LeMat-Bulk).

Geometry as POSCAR:
```
LiEr
1.0
0.683 -1.828 3.714
-2.151 1.247 3.379
-2.918 -2.507 1.672
Li Er
1 1
Cartesian
-2.193 -1.544 4.382
0.000 0.000 0.000
```

Symmetry ... Fm-3m
Total moment ... 0.004 μB per atom
Crystal system ... cubic



Need the numbers? Relative energies in meV per atom: <one> 0; <two> 373.



<one>
# LiEr

A relaxed structure of LiEr (GGA-PBE, OQMD via LeMat-Bulk).

Geometry as POSCAR:
```
LiEr
1.0
0.000 3.216 3.216
3.216 0.000 3.216
3.216 3.216 0.000
Li Er
1 1
Cartesian
1.608 1.608 1.608
0.000 0.000 0.000
```

Symmetry ... F-43m
Total moment ... 0.427 μB per atom
Crystal system ... cubic



<two>
# LiEr

A relaxed structure of LiEr (GGA-PBE, OQMD via LeMat-Bulk).

Geometry as POSCAR:
```
LiEr
1.0
3.320 0.000 0.000
-1.660 2.875 0.000
0.000 0.000 5.376
Er Li
1 1
Cartesian
1.660 0.958 4.032
0.000 1.917 1.344
```

Symmetry ... P-6m2
Total moment ... 0.000 μB per atom
Crystal system ... hexagonal



Need the numbers? Relative energies in meV per atom: <one> 1094; <two> 0.



<one>
# NaLiEr

A relaxed structure of NaLiEr (GGA-PBE, OQMD via LeMat-Bulk).

Geometry as POSCAR:
```
NaLiEr
1.0
-0.113 -5.041 -0.411
-3.852 -2.258 -2.377
0.738 -2.188 -4.501
Na Li Er
1 1 1
Cartesian
-2.420 -7.115 -5.467
0.000 0.000 0.000
-0.807 -2.372 -1.822
```

Symmetry ... F-43m
Total moment ... 0.002 μB per atom
Crystal system ... cubic



<two>
# NaLiEr

A relaxed structure of NaLiEr (GGA-PBE, OQMD via LeMat-Bulk).

Geometry as POSCAR:
```
NaLiEr
1.0
1.151 3.623 3.628
-3.020 0.493 4.271
1.833 -1.476 4.698
Li Na Er
1 1 1
Cartesian
-0.009 0.660 3.149
-0.028 1.980 9.448
0.000 0.000 0.000
```

Symmetry ... F-43m
Total moment ... 0.007 μB per atom
Crystal system ... cubic



Need the numbers? Relative energies in meV per atom: <one> 0; <two> 246.



<one>
# LiErNb

A relaxed structure of LiErNb (GGA-PBE, OQMD via LeMat-Bulk).

Geometry as POSCAR:
```
LiErNb
1.0
0.000 3.374 3.374
3.374 0.000 3.374
3.374 3.374 0.000
Er Li Nb
1 1 1
Cartesian
1.687 1.687 1.687
5.061 5.061 5.061
0.000 0.000 0.000
```

Symmetry ... F-43m
Total moment ... 0.913 μB per atom
Crystal system ... cubic



<two>
# LiErNb

A relaxed structure of LiErNb (GGA-PBE, OQMD via LeMat-Bulk).

Geometry as POSCAR:
```
LiErNb
1.0
0.000 3.395 3.395
3.395 0.000 3.395
3.395 3.395 0.000
Er Li Nb
1 1 1
Cartesian
0.000 0.000 0.000
1.698 1.698 1.698
5.093 5.093 5.093
```

Symmetry ... F-43m
Total moment ... 0.988 μB per atom
Crystal system ... cubic



Need the numbers? Relative energies in meV per atom: <one> 0; <two> 126.



<one>
# LiErO2

A relaxed structure of LiErO2 (GGA-PBE, OQMD via LeMat-Bulk).

Geometry as POSCAR:
```
LiErO2
1.0
-10.495 2.893 -1.715
-0.944 -3.167 0.431
-0.598 0.876 5.135
Li Er O
4 4 8
Cartesian
-6.553 1.375 2.208
-5.484 -0.773 1.642
-10.550 0.408 -0.770
-1.486 0.194 4.620
-2.449 -1.574 2.402
-7.455 -0.481 -0.527
-4.581 1.083 4.377
-9.588 2.176 1.448
-8.156 1.971 3.074
-11.379 1.094 2.458
-9.205 0.191 0.579
-5.894 0.940 0.445
-3.880 -1.369 0.776
-2.832 0.412 3.272
-6.142 -0.338 3.405
-0.657 -0.492 1.393
```

Symmetry ... Pnma
Total moment ... 0.000 μB per atom
Crystal system ... orthorhombic



<two>
# LiErO2

A relaxed structure of LiErO2 (GGA-PBE, OQMD via LeMat-Bulk).

Geometry as POSCAR:
```
LiErO2
1.0
1.654 0.955 4.961
-1.654 0.955 4.961
0.000 -1.910 4.961
Er O Li
1 2 1
Cartesian
0.000 0.000 0.000
0.000 0.000 11.106
0.000 0.000 3.778
0.000 0.000 7.442
```

Symmetry ... R-3m
Total moment ... 0.000 μB per atom
Crystal system ... trigonal



Need the numbers? Relative energies in meV per atom: <one> 0; <two> 81.



<one>
# LiErSeO

A relaxed structure of LiErSeO (GGA-PBE, OQMD via LeMat-Bulk).

Geometry as POSCAR:
```
LiErSeO
1.0
-5.168 -0.933 3.519
-3.227 -3.223 -5.593
3.255 -5.159 1.095
Er O Se Li
4 4 4 4
Cartesian
-1.012 -5.575 0.243
-4.128 -3.741 -1.222
-1.790 -2.147 1.167
-3.349 -7.168 -2.146
-3.450 -5.108 -2.861
-1.689 -4.208 1.883
-1.260 -7.126 -1.339
-3.879 -2.190 0.360
1.528 -4.616 1.101
-1.243 -3.179 -1.429
-3.896 -6.137 0.450
-6.668 -4.700 -2.080
-3.624 -4.321 2.369
0.192 -7.494 -2.661
-5.332 -1.822 1.682
-1.515 -4.994 -3.348
```

Symmetry ... P2_1/c
Total moment ... 0.000 μB per atom
Crystal system ... monoclinic



<two>
# LiErSeO

A relaxed structure of LiErSeO (GGA-PBE, OQMD via LeMat-Bulk).

Geometry as POSCAR:
```
LiErSeO
1.0
-2.681 2.957 -3.766
2.837 -2.487 -3.973
-5.422 -8.594 1.507
O Li Se Er
4 4 4 4
Cartesian
-7.160 -6.611 -1.694
-0.403 0.505 -1.317
1.016 -0.742 -3.306
-0.324 0.739 -5.185
-1.675 -3.750 -3.469
-1.406 -6.606 -1.781
-4.377 -3.685 -1.661
-4.427 -1.021 -3.656
-3.532 -5.775 0.116
-2.419 -1.748 -5.387
-3.455 -5.542 -3.731
-2.513 -1.967 -1.518
-1.106 -0.152 -3.314
1.655 -2.876 -3.416
-6.371 -5.729 -3.585
-3.611 -8.452 -3.686
```

Symmetry ... P2_1
Total moment ... 0.000 μB per atom
Crystal system ... monoclinic



Need the numbers? Relative energies in meV per atom: <one> 21; <two> 0.



<one>
# LiErTeO

A relaxed structure of LiErTeO (GGA-PBE, OQMD via LeMat-Bulk).

Geometry as POSCAR:
```
LiErTeO
1.0
4.006 0.000 0.000
0.000 4.006 0.000
0.000 0.000 9.344
Li Te O Er
2 2 2 2
Cartesian
3.005 1.002 4.672
1.002 3.005 4.672
3.005 3.005 2.877
1.002 1.002 6.466
3.005 1.002 0.000
1.002 3.005 0.000
1.002 1.002 1.032
3.005 3.005 8.311
```

Symmetry ... P4/nmm
Total moment ... 0.000 μB per atom
Crystal system ... tetragonal



<two>
# LiErTeO

A relaxed structure of LiErTeO (GGA-PBE, OQMD via LeMat-Bulk).

Geometry as POSCAR:
```
LiErTeO
1.0
3.947 0.000 0.000
0.000 6.620 0.000
0.000 0.000 6.773
O Li Er Te
2 2 2 2
Cartesian
1.974 1.325 1.229
1.974 5.295 4.616
0.000 4.514 4.458
0.000 2.106 1.071
1.974 0.133 3.015
1.974 6.487 6.402
0.000 4.925 1.396
0.000 1.695 4.782
```

Symmetry ... Pmc2_1
Total moment ... 0.000 μB per atom
Crystal system ... orthorhombic



<three>
# LiErTeO

A relaxed structure of LiErTeO (GGA-PBE, OQMD via LeMat-Bulk).

Geometry as POSCAR:
```
LiErTeO
1.0
-3.013 -3.918 -4.599
5.248 -5.124 0.927
-2.919 -2.021 5.355
Li Er Te O
4 4 4 4
Cartesian
-1.243 -4.917 -3.526
0.559 -6.147 5.209
-3.036 -5.602 -0.907
2.352 -5.462 2.591
-1.538 -2.948 -0.505
0.853 -8.115 2.188
0.951 -5.774 -0.731
-1.635 -5.289 2.414
-1.483 -7.541 0.342
0.799 -3.522 1.341
-2.546 -2.692 3.686
1.862 -8.371 -2.003
-0.305 -4.305 -1.875
2.051 -6.696 1.052
-2.735 -4.367 0.631
-0.380 -6.759 3.558
```

Symmetry ... P2_1/c
Total moment ... 0.000 μB per atom
Crystal system ... monoclinic



Need the numbers? Relative energies in meV per atom: <one> 0; <two> 218; <three> 97.



<one>
# LiErPbS3

A relaxed structure of LiErPbS3 (GGA-PBE, OQMD via LeMat-Bulk).

Geometry as POSCAR:
```
LiErPbS3
1.0
1.982 -6.455 0.000
1.982 6.455 0.000
0.000 0.000 10.224
S Pb Li Er
6 2 2 2
Cartesian
1.982 -5.488 7.668
1.982 -1.747 5.760
1.982 1.747 4.464
1.982 5.488 2.556
1.982 1.747 0.648
1.982 -1.747 9.577
1.982 -3.198 2.556
1.982 3.198 7.668
1.982 0.375 2.556
1.982 -0.375 7.668
0.000 0.000 0.000
0.000 0.000 5.112
```

Symmetry ... Cmcm
Total moment ... 0.001 μB per atom
Crystal system ... orthorhombic



<two>
# LiErPbS3

A relaxed structure of LiErPbS3 (GGA-PBE, OQMD via LeMat-Bulk).

Geometry as POSCAR:
```
LiErPbS3
1.0
-1.581 8.394 1.227
-4.668 6.657 2.890
4.704 -2.092 6.548
S Er Pb Li
6 2 2 2
Cartesian
-0.124 8.247 8.382
-1.422 4.713 2.283
-2.738 9.457 4.794
-0.773 6.480 5.333
1.192 3.502 5.871
0.000 0.000 0.000
-0.625 2.301 1.244
-0.921 10.658 9.422
-3.362 12.125 6.422
1.816 0.835 4.244
0.671 5.800 7.304
-2.217 7.159 3.361
```

Symmetry ... C2/m
Total moment ... 0.000 μB per atom
Crystal system ... monoclinic



Need the numbers? Relative energies in meV per atom: <one> 43; <two> 0.



<one>
# SrLiErTe3

A relaxed structure of SrLiErTe3 (GGA-PBE, OQMD via LeMat-Bulk).

Geometry as POSCAR:
```
SrLiErTe3
1.0
-2.208 -4.131 13.979
2.875 -3.311 -0.524
8.603 6.931 3.407
Te Sr Li Er
12 4 4 4
Cartesian
5.730 1.694 11.423
2.399 -4.300 12.413
3.540 -2.205 5.439
5.471 -1.919 14.226
6.765 1.946 15.517
6.871 3.790 4.448
0.376 -2.525 8.707
3.799 1.409 2.636
8.894 2.014 8.155
4.740 1.489 7.288
4.530 -2.000 9.573
2.504 -2.456 1.345
6.334 0.357 4.588
2.935 -0.867 12.274
0.480 -1.669 3.875
8.789 1.158 12.987
3.488 -3.749 14.904
7.431 3.391 10.038
1.838 -3.902 6.824
5.782 3.238 1.958
6.772 0.026 9.075
2.498 -0.537 7.787
-0.008 -3.731 14.222
9.278 3.221 2.640
```

Symmetry ... Pnma
Total moment ... 0.000 μB per atom
Crystal system ... orthorhombic



<two>
# SrLiErTe3

A relaxed structure of SrLiErTe3 (GGA-PBE, OQMD via LeMat-Bulk).

Geometry as POSCAR:
```
SrLiErTe3
1.0
8.393 0.000 0.000
0.000 4.405 0.000
-2.929 0.000 10.205
Te Sr Er Li
6 2 2 2
Cartesian
4.855 1.101 4.676
-1.954 1.101 8.598
7.418 3.304 1.607
2.281 1.101 8.750
0.609 3.304 5.529
3.183 3.304 1.455
1.220 1.101 3.021
4.244 3.304 7.184
5.331 1.101 1.617
0.133 3.304 8.588
-1.023 1.101 6.019
6.487 3.304 4.187
```

Symmetry ... P2_1/m
Total moment ... 0.001 μB per atom
Crystal system ... monoclinic



Need the numbers? Relative energies in meV per atom: <one> 0; <two> 8.



<one>
# LiErW

A relaxed structure of LiErW (GGA-PBE, OQMD via LeMat-Bulk).

Geometry as POSCAR:
```
LiErW
1.0
0.597 -3.674 2.846
-3.726 -2.297 1.673
-0.964 -4.325 -1.523
W Li Er
1 1 1
Cartesian
-3.069 -7.722 2.247
-1.023 -2.574 0.749
0.000 0.000 0.000
```

Symmetry ... F-43m
Total moment ... 0.834 μB per atom
Crystal system ... cubic



<two>
# LiErW

A relaxed structure of LiErW (GGA-PBE, OQMD via LeMat-Bulk).

Geometry as POSCAR:
```
LiErW
1.0
-3.820 -2.157 -0.270
-3.786 2.157 0.571
-2.674 0.687 -3.419
Er W Li
1 1 1
Cartesian
-2.570 0.172 -0.780
-7.710 0.515 -2.339
0.000 0.000 0.000
```

Symmetry ... F-43m
Total moment ... 0.141 μB per atom
Crystal system ... cubic



Need the numbers? Relative energies in meV per atom: <one> 414; <two> 0.



<one>
# LiErZn

A relaxed structure of LiErZn (GGA-PBE, OQMD via LeMat-Bulk).

Geometry as POSCAR:
```
LiErZn
1.0
-0.990 -0.842 4.520
-4.050 -2.085 1.171
0.011 -4.413 1.627
Er Li Zn
1 1 1
Cartesian
0.000 0.000 0.000
-1.257 -1.835 1.830
-3.772 -5.505 5.488
```

Symmetry ... F-43m
Total moment ... 0.000 μB per atom
Crystal system ... cubic



<two>
# LiErZn

A relaxed structure of LiErZn (GGA-PBE, OQMD via LeMat-Bulk).

Geometry as POSCAR:
```
LiErZn
1.0
2.955 2.510 2.555
-0.323 -0.040 4.632
3.259 -2.124 2.536
Li Zn Er
1 1 1
Cartesian
4.419 0.259 7.292
0.000 0.000 0.000
1.473 0.086 2.431
```

Symmetry ... F-43m
Total moment ... 0.052 μB per atom
Crystal system ... cubic



Need the numbers? Relative energies in meV per atom: <one> 342; <two> 0.